Below is a PBEsol-optimized structure of HgPbS3, with properties calculated at the SCAN level.

Cell lengths 5.1036, 5.1036, 5.1036 Å; angles 90.00, 90.00, 90.00 degrees
Last column: nearest neighbours and their distance in Å.
Positions (direct):
Hg (0.0000, 0.0000, 0.0000)  12 S 3.61
Pb (0.5000, 0.5000, 0.5000)  6 S 2.55
S (0.0000, 0.5000, 0.5000)  2 Pb 2.55
S (0.5000, 0.0000, 0.5000)  2 Pb 2.55
S (0.5000, 0.5000, 0.0000)  2 Pb 2.55

Calculated values
E: -1.2455 Ha/atom
ΔE_f (raw): 3.4 eV/f.u.
mass density: 6.3 g/cm3
crystal system: cubic